Model i:
# Cu2ReOs

A geometry-optimized Cu2ReOs structure (PBEsol, Alexandria).

abc: 3.7548 3.7548 7.2999
angles: 90.00 90.00 90.00
Closest atoms and distances in Å follow each position.
Positions (direct):
Cu (0.0000, 0.0000, 0.0000)  4 Re 2.62, 4 Cu 2.62, 4 Os 2.66
Cu (0.0000, 0.5000, 0.2500)  4 Os 2.62, 4 Cu 2.62, 4 Re 2.66
Cu (0.5000, 0.0000, 0.7500)  4 Os 2.62, 4 Cu 2.62, 4 Re 2.66
Cu (0.5000, 0.5000, 0.5000)  4 Re 2.62, 4 Cu 2.62, 4 Os 2.66
Re (0.0000, 0.5000, 0.7500)  4 Os 2.62, 8 Cu 2.62-2.66
Re (0.5000, 0.0000, 0.2500)  4 Os 2.62, 8 Cu 2.62-2.66
Os (0.0000, 0.0000, 0.5000)  4 Re 2.62, 8 Cu 2.62-2.66
Os (0.5000, 0.5000, 0.0000)  4 Re 2.62, 8 Cu 2.62-2.66

Computed properties:
* volume: 103 Å³/cell
* SG: I-4m2 (119)

---

Model ii:
# Cu2ReOs

A geometry-optimized Cu2ReOs structure (PBEsol, Alexandria).

abc: 2.6460 2.6460 25.9389
angles: 90.00 90.00 120.00
Closest atoms and distances in Å follow each position.
Positions (direct):
Cu (0.0000, 0.0000, 0.2504)  3 Os 2.64, 6 Cu 2.65, 3 Re 2.66
Cu (0.0000, 0.0000, 0.7496)  3 Os 2.64, 6 Cu 2.65, 3 Re 2.66
Cu (0.3333, 0.6667, 0.4162)  3 Os 2.64, 6 Cu 2.65, 3 Re 2.66
Cu (0.3333, 0.6667, 0.9171)  3 Os 2.64, 6 Cu 2.65, 3 Re 2.66
Cu (0.6667, 0.3333, 0.0829)  3 Os 2.64, 6 Cu 2.65, 3 Re 2.66
Cu (0.6667, 0.3333, 0.5838)  3 Os 2.64, 6 Cu 2.65, 3 Re 2.66
Re (0.0000, 0.0000, 0.5000)  6 Re 2.65, 6 Cu 2.66
Re (0.3333, 0.6667, 0.1667)  6 Re 2.65, 6 Cu 2.66
Re (0.6667, 0.3333, 0.8333)  6 Re 2.65, 6 Cu 2.66
Os (0.0000, 0.0000, 0.0000)  6 Cu 2.64, 6 Os 2.65
Os (0.3333, 0.6667, 0.6667)  6 Cu 2.64, 6 Os 2.65
Os (0.6667, 0.3333, 0.3333)  6 Cu 2.64, 6 Os 2.65

Computed properties:
* volume: 157 Å³/cell
* SG: R-3m (166)

---

Which of them is least stable? Easy: model ii.

---

Model i:
# CuOs2Rh

A geometry-optimized CuOs2Rh structure (PBEsol, Alexandria).

abc: 5.9911 5.9911 5.9911
angles: 90.00 90.00 90.00
Closest atoms and distances in Å follow each position.
Positions (direct):
Cu (0.0000, 0.0000, 0.0000)  8 Os 2.59
Cu (0.0000, 0.5000, 0.5000)  8 Os 2.59
Cu (0.5000, 0.0000, 0.5000)  8 Os 2.59
Cu (0.5000, 0.5000, 0.0000)  8 Os 2.59
Os (0.2500, 0.2500, 0.2500)  4 Cu 2.59, 4 Rh 2.59
Os (0.2500, 0.2500, 0.7500)  4 Cu 2.59, 4 Rh 2.59
Os (0.2500, 0.7500, 0.2500)  4 Cu 2.59, 4 Rh 2.59
Os (0.2500, 0.7500, 0.7500)  4 Cu 2.59, 4 Rh 2.59
Os (0.7500, 0.2500, 0.2500)  4 Cu 2.59, 4 Rh 2.59
Os (0.7500, 0.2500, 0.7500)  4 Cu 2.59, 4 Rh 2.59
Os (0.7500, 0.7500, 0.2500)  4 Cu 2.59, 4 Rh 2.59
Os (0.7500, 0.7500, 0.7500)  4 Rh 2.59, 4 Cu 2.59
Rh (0.0000, 0.0000, 0.5000)  8 Os 2.59
Rh (0.0000, 0.5000, 0.0000)  8 Os 2.59
Rh (0.5000, 0.0000, 0.0000)  8 Os 2.59
Rh (0.5000, 0.5000, 0.5000)  8 Os 2.59

Computed properties:
* volume: 215 Å³/cell
* SG: Fm-3m (225)

---

Model ii:
# CuOs2Rh

A geometry-optimized CuOs2Rh structure (PBEsol, Alexandria).

abc: 3.6969 3.6969 3.9165
angles: 90.00 90.00 90.00
Closest atoms and distances in Å follow each position.
Positions (direct):
Cu (0.0000, 0.0000, 0.0000)  4 Rh 2.61, 8 Os 2.69
Os (0.0000, 0.5000, 0.5000)  4 Os 2.61, 4 Rh 2.69, 4 Cu 2.69
Os (0.5000, 0.0000, 0.5000)  4 Os 2.61, 4 Rh 2.69, 4 Cu 2.69
Rh (0.5000, 0.5000, 0.0000)  4 Cu 2.61, 8 Os 2.69

Computed properties:
* volume: 54 Å³/cell
* SG: P4/mmm (123)

---

Which of them is least stable? Easy: model i.

---

Model i:
# CuOsRu

A geometry-optimized CuOsRu structure (PBEsol, Alexandria).

abc: 2.7068 3.6587 7.8624
angles: 90.00 90.00 90.00
Closest atoms and distances in Å follow each position.
Positions (direct):
Cu (0.0000, 0.0000, 0.0000)  5 Ru 2.59-2.64, 5 Os 2.60-2.64, 2 Cu 2.71
Cu (0.5000, 0.5000, 0.5000)  5 Ru 2.59-2.64, 5 Os 2.60-2.64, 2 Cu 2.71
Os (0.0000, 0.0000, 0.3302)  5 Cu 2.60-2.64, 5 Ru 2.60-2.68, 2 Os 2.71
Os (0.5000, 0.5000, 0.8302)  5 Cu 2.60-2.64, 5 Ru 2.60-2.68, 2 Os 2.71
Ru (0.0000, 0.0000, 0.6712)  5 Cu 2.59-2.64, 5 Os 2.60-2.68, 2 Ru 2.71
Ru (0.5000, 0.5000, 0.1712)  5 Cu 2.59-2.64, 5 Os 2.60-2.68, 2 Ru 2.71

Computed properties:
* volume: 78 Å³/cell
* SG: Imm2 (44)

---

Model ii:
# CuOsRu

A geometry-optimized CuOsRu structure (PBEsol, Alexandria).

abc: 2.7185 4.4658 13.3331
angles: 90.00 90.00 90.00
Closest atoms and distances in Å follow each position.
Positions (direct):
Cu (0.0000, 0.0000, 0.0000)  2 Ru 2.60, 6 Cu 2.61-2.72, 2 Os 2.62
Cu (0.0000, 0.5000, 0.5000)  2 Ru 2.60, 6 Cu 2.61-2.72, 2 Os 2.62
Cu (0.5000, 0.0000, 0.5000)  2 Ru 2.60, 6 Cu 2.61-2.72, 2 Os 2.62
Cu (0.5000, 0.5000, 0.0000)  2 Ru 2.60, 6 Cu 2.61-2.72, 2 Os 2.62
Os (0.0000, 0.0000, 0.3321)  2 Ru 2.59, 6 Os 2.61-2.72, 2 Cu 2.62
Os (0.0000, 0.5000, 0.8321)  2 Ru 2.59, 6 Os 2.61-2.72, 2 Cu 2.62
Os (0.5000, 0.0000, 0.8321)  2 Ru 2.59, 6 Os 2.61-2.72, 2 Cu 2.62
Os (0.5000, 0.5000, 0.3321)  2 Ru 2.59, 6 Os 2.61-2.72, 2 Cu 2.62
Ru (0.0000, 0.0000, 0.6665)  2 Os 2.59, 2 Cu 2.60, 6 Ru 2.61-2.72
Ru (0.0000, 0.5000, 0.1665)  2 Os 2.59, 2 Cu 2.60, 6 Ru 2.61-2.72
Ru (0.5000, 0.0000, 0.1665)  2 Os 2.59, 2 Cu 2.60, 6 Ru 2.61-2.72
Ru (0.5000, 0.5000, 0.6665)  2 Os 2.59, 2 Cu 2.60, 6 Ru 2.61-2.72

Computed properties:
* volume: 162 Å³/cell
* SG: Fmm2 (42)

---

Which of them is least stable? Easy: model ii.

---

Model i:
# Cu2OsRu

A geometry-optimized Cu2OsRu structure (PBEsol, Alexandria).

abc: 8.6350 2.6556 4.4994
angles: 90.00 99.81 90.00
Closest atoms and distances in Å follow each position.
Positions (direct):
Cu (0.0000, 0.0000, 0.0000)  5 Cu 2.49-2.66, 4 Os 2.61, 3 Ru 2.71-2.72
Cu (0.2487, 0.5000, 0.2017)  5 Cu 2.49-2.66, 4 Ru 2.61-2.62, 3 Os 2.70-2.72
Cu (0.5000, 0.5000, 0.0000)  5 Cu 2.49-2.66, 4 Os 2.61, 3 Ru 2.71-2.72
Cu (0.7487, 0.0000, 0.2017)  5 Cu 2.49-2.66, 4 Ru 2.61-2.62, 3 Os 2.70-2.72
Os (0.0002, 0.5000, 0.4999)  3 Ru 2.50-2.55, 7 Cu 2.61-2.72, 2 Os 2.66
Os (0.5002, 0.0000, 0.4999)  3 Ru 2.50-2.55, 7 Cu 2.61-2.72, 2 Os 2.66
Ru (0.2476, 0.0000, 0.7002)  3 Os 2.50-2.55, 7 Cu 2.61-2.72, 2 Ru 2.66
Ru (0.7476, 0.5000, 0.7002)  3 Os 2.50-2.55, 7 Cu 2.61-2.72, 2 Ru 2.66

Computed properties:
* volume: 102 Å³/cell
* SG: Cm (8)

---

Model ii:
# Cu2OsRu

A geometry-optimized Cu2OsRu structure (PBEsol, Alexandria).

abc: 2.7086 4.3644 8.7691
angles: 90.00 90.00 90.00
Closest atoms and distances in Å follow each position.
Positions (direct):
Cu (0.0000, 0.0000, 0.2504)  6 Cu 2.57-2.71, 2 Os 2.57, 2 Ru 2.58
Cu (0.0000, 0.0000, 0.7496)  6 Cu 2.57-2.71, 2 Os 2.57, 2 Ru 2.58
Cu (0.5000, 0.5000, 0.2496)  6 Cu 2.57-2.71, 2 Os 2.57, 2 Ru 2.58
Cu (0.5000, 0.5000, 0.7504)  6 Cu 2.57-2.71, 2 Os 2.57, 2 Ru 2.58
Os (0.0000, 0.5000, 0.0000)  4 Ru 2.57, 4 Cu 2.57, 2 Os 2.71
Os (0.5000, 0.0000, 0.5000)  4 Ru 2.57, 4 Cu 2.57, 2 Os 2.71
Ru (0.0000, 0.5000, 0.5000)  4 Os 2.57, 4 Cu 2.58, 2 Ru 2.71
Ru (0.5000, 0.0000, 0.0000)  4 Os 2.57, 4 Cu 2.58, 2 Ru 2.71

Computed properties:
* volume: 104 Å³/cell
* SG: Immm (71)

---

Which of them is least stable? Easy: model ii.